Compound: V3Tc2W8
Source: Alexandria
Functional: PBE
Structure: relaxed

Structure (CIF):
```
data_V3Tc2W8
_chemical_formula_sum 'V6 Tc4 W16'
_cell_length_a 6.8510
_cell_length_b 13.7626
_cell_length_c 4.5551
_cell_angle_alpha 90.00
_cell_angle_beta 90.00
_cell_angle_gamma 90.00
_space_group_name_H-M_alt 'C m m m'
_space_group_IT_number 65
_space_group_name_Hall '-C 2 2'
loop_
_atom_site_label
_atom_site_fract_x
_atom_site_fract_y
_atom_site_fract_z
V1 0.0000 0.0000 0.0000
V2 0.2024 0.5000 0.5000
Tc1 0.0000 0.2180 0.0000
W1 0.0000 0.1201 0.5000
W2 0.0000 0.3328 0.5000
W3 0.2056 0.3913 0.0000
```

Computed properties:
E_form = 12.13 kcal/mol of atoms
magnetic moment = 0.00 μB per atom
total DFT energy (no corrections) = -11.1442 eV/atom